(1)
The following is a GGA-PBE calculation of a relaxed structure of Ir3PtC, from Alexandria.

## Properties
* ΔE_f: 0.545 eV/atom
* crystal system: cubic

The structure in CIF format:
```
data_Ir3PtC
_chemical_formula_sum 'Ir3 Pt1 C1'
_symmetry_space_group_name_H-M 'P m -3 m'
_symmetry_Int_Tables_number 221
_symmetry_space_group_name_Hall '-P 4 2 3'
_cell_length_a 4.0970
_cell_length_b 4.0970
_cell_length_c 4.0970
_cell_angle_alpha 90.00
_cell_angle_beta 90.00
_cell_angle_gamma 90.00
loop_
_atom_site_label
_atom_site_fract_x
_atom_site_fract_y
_atom_site_fract_z
Ir1 0.0000 0.0000 0.5000
Pt1 0.5000 0.5000 0.5000
C1 0.0000 0.0000 0.0000
```

---

(2)
The following is a GGA-PBE calculation of a relaxed structure of Mg4Cd5In2, from Alexandria.

## Properties
* ΔE_f: -0.046 eV/atom
* crystal system: monoclinic

The structure in CIF format:
```
data_Mg4Cd5In2
_chemical_formula_sum 'Mg4 Cd5 In2'
_symmetry_space_group_name_H-M 'P 1 2/m 1'
_symmetry_Int_Tables_number 10
_symmetry_space_group_name_Hall '-P 2y'
_cell_length_a 7.7023
_cell_length_b 3.2611
_cell_length_c 10.1625
_cell_angle_alpha 90.00
_cell_angle_beta 94.38
_cell_angle_gamma 90.00
loop_
_atom_site_label
_atom_site_fract_x
_atom_site_fract_y
_atom_site_fract_z
Mg1 0.1747 0.0000 0.3972
Mg2 0.2887 0.0000 0.9432
Cd1 0.1829 0.5000 0.6526
Cd2 0.4541 0.5000 0.2019
Cd3 0.5000 0.5000 0.5000
In1 0.0697 0.5000 0.1431
```

---

(3)
The following is a GGA-PBE calculation of a relaxed structure of CaP2Ir2, from Alexandria.

## Properties
* ΔE_f: -0.223 eV/atom
* crystal system: tetragonal

The structure in CIF format:
```
data_CaP2Ir2
_chemical_formula_sum 'Ca2 P4 Ir4'
_symmetry_space_group_name_H-M 'P 4/m b m'
_symmetry_Int_Tables_number 127
_symmetry_space_group_name_Hall '-P 4 2ab'
_cell_length_a 7.3767
_cell_length_b 7.3767
_cell_length_c 2.9508
_cell_angle_alpha 90.00
_cell_angle_beta 90.00
_cell_angle_gamma 90.00
loop_
_atom_site_label
_atom_site_fract_x
_atom_site_fract_y
_atom_site_fract_z
Ca1 0.0000 0.0000 0.0000
P1 0.1439 0.3561 0.0000
Ir1 0.1334 0.6334 0.5000
```

---

(4)
The following is a GGA-PBE calculation of a relaxed structure of VTeI2N, from Alexandria.

## Properties
* E_form (uncorrected): 1329 meV/atom
* crystal system: tetragonal

The structure in CIF format:
```
data_VTeI2N
_chemical_formula_sum 'V1 Te1 I2 N1'
_symmetry_space_group_name_H-M 'P 4/m m m'
_symmetry_Int_Tables_number 123
_symmetry_space_group_name_Hall '-P 4 2'
_cell_length_a 4.8145
_cell_length_b 4.8145
_cell_length_c 5.0631
_cell_angle_alpha 90.00
_cell_angle_beta 90.00
_cell_angle_gamma 90.00
loop_
_atom_site_label
_atom_site_fract_x
_atom_site_fract_y
_atom_site_fract_z
V1 0.0000 0.0000 0.0000
Te1 0.5000 0.5000 0.0000
I1 0.0000 0.5000 0.5000
N1 0.5000 0.5000 0.5000
```

---

(5)
The following is a GGA-PBE calculation of a relaxed structure of Li2MnNbNi, from Alexandria.

## Properties
* ΔE_f: 1.124 eV/atom
* crystal system: tetragonal

The structure in CIF format:
```
data_Li2MnNbNi
_chemical_formula_sum 'Li2 Mn1 Nb1 Ni1'
_symmetry_space_group_name_H-M 'P 4/m m m'
_symmetry_Int_Tables_number 123
_symmetry_space_group_name_Hall '-P 4 2'
_cell_length_a 4.3629
_cell_length_b 4.3629
_cell_length_c 4.3474
_cell_angle_alpha 90.00
_cell_angle_beta 90.00
_cell_angle_gamma 90.00
loop_
_atom_site_label
_atom_site_fract_x
_atom_site_fract_y
_atom_site_fract_z
Li1 0.0000 0.5000 0.0000
Mn1 0.0000 0.0000 0.0000
Nb1 0.0000 0.0000 0.5000
Ni1 0.5000 0.5000 0.5000
```

---

(6)
The following is a GGA-PBE calculation of a relaxed structure of Tb3HoNi, from Alexandria.

## Properties
* ΔE_f: -0.009 eV/atom
* crystal system: cubic

The structure in CIF format:
```
data_Tb3HoNi
_chemical_formula_sum 'Tb3 Ho1 Ni1'
_symmetry_space_group_name_H-M 'P m -3 m'
_symmetry_Int_Tables_number 221
_symmetry_space_group_name_Hall '-P 4 2 3'
_cell_length_a 5.3219
_cell_length_b 5.3219
_cell_length_c 5.3219
_cell_angle_alpha 90.00
_cell_angle_beta 90.00
_cell_angle_gamma 90.00
loop_
_atom_site_label
_atom_site_fract_x
_atom_site_fract_y
_atom_site_fract_z
Tb1 0.0000 0.0000 0.5000
Ho1 0.5000 0.5000 0.5000
Ni1 0.0000 0.0000 0.0000
```

---

(7)
The following is a GGA-PBE calculation of a relaxed structure of Ni2Mo3C, from Alexandria.

## Properties
* ΔE_f: -0.072 eV/atom
* crystal system: cubic

The structure in CIF format:
```
data_Ni2Mo3C
_chemical_formula_sum 'Ni8 Mo12 C4'
_symmetry_space_group_name_H-M 'P 41 3 2'
_symmetry_Int_Tables_number 213
_symmetry_space_group_name_Hall 'P 4bd 2ab 3'
_cell_length_a 6.7008
_cell_length_b 6.7008
_cell_length_c 6.7008
_cell_angle_alpha 90.00
_cell_angle_beta 90.00
_cell_angle_gamma 90.00
loop_
_atom_site_label
_atom_site_fract_x
_atom_site_fract_y
_atom_site_fract_z
Ni1 0.0684 0.0684 0.0684
Mo1 0.0490 0.8750 0.7010
C1 0.1250 0.6250 0.8750
```

---

(8)
The following is a GGA-PBE calculation of a relaxed structure of Pr5Nd2Ho12, from Alexandria.

## Properties
* ΔE_f: 0.020 eV/atom
* crystal system: triclinic

The structure in CIF format:
```
data_Pr5Nd2Ho12
_chemical_formula_sum 'Pr5 Nd2 Ho12'
_symmetry_space_group_name_H-M 'P -1'
_symmetry_Int_Tables_number 2
_symmetry_space_group_name_Hall '-P 1'
_cell_length_a 6.2154
_cell_length_b 9.5020
_cell_length_c 11.3367
_cell_angle_alpha 90.05
_cell_angle_beta 100.63
_cell_angle_gamma 108.84
loop_
_atom_site_label
_atom_site_fract_x
_atom_site_fract_y
_atom_site_fract_z
Pr1 0.0000 0.0000 0.0000
Pr2 0.2644 0.8427 0.5270
Pr3 0.4743 0.3157 0.9467
Nd1 0.2106 0.4733 0.4198
Ho1 0.0516 0.3681 0.1056
Ho2 0.1054 0.7368 0.2108
Ho3 0.1574 0.1053 0.3142
Ho4 0.3137 0.2092 0.6329
Ho5 0.3688 0.5791 0.7383
Ho6 0.4202 0.9473 0.8413
```

---

(9)
The following is a GGA-PBE calculation of a relaxed structure of Re2Ru, from Alexandria.

## Properties
* ΔE_f: 0.234 eV/atom
* crystal system: tetragonal

The structure in CIF format:
```
data_Re2Ru
_chemical_formula_sum 'Re8 Ru4'
_symmetry_space_group_name_H-M 'I 4/m c m'
_symmetry_Int_Tables_number 140
_symmetry_space_group_name_Hall '-I 4 2c'
_cell_length_a 6.1227
_cell_length_b 6.1227
_cell_length_c 4.9024
_cell_angle_alpha 90.00
_cell_angle_beta 90.00
_cell_angle_gamma 90.00
loop_
_atom_site_label
_atom_site_fract_x
_atom_site_fract_y
_atom_site_fract_z
Re1 0.1410 0.3590 0.0000
Ru1 0.0000 0.0000 0.2500
```

---

(10)
The following is a GGA-PBE calculation of a relaxed structure of Na2Ga12Pt7, from Alexandria.

## Properties
* ΔE_f: -0.556 eV/atom
* crystal system: hexagonal

The structure in CIF format:
```
data_Na2Ga12Pt7
_chemical_formula_sum 'Na2 Ga12 Pt7'
_symmetry_space_group_name_H-M 'P -6'
_symmetry_Int_Tables_number 174
_symmetry_space_group_name_Hall 'P -6'
_cell_length_a 10.2079
_cell_length_b 10.2079
_cell_length_c 4.1016
_cell_angle_alpha 90.00
_cell_angle_beta 90.00
_cell_angle_gamma 120.00
loop_
_atom_site_label
_atom_site_fract_x
_atom_site_fract_y
_atom_site_fract_z
Na1 0.0000 0.0000 0.0000
Na2 0.3333 0.6667 0.5000
Ga1 0.0230 0.2744 0.5000
Ga2 0.1493 0.7422 0.0000
Ga3 0.3710 0.1939 0.0000
Ga4 0.5372 0.4150 0.5000
Pt1 0.0295 0.4484 0.0000
Pt2 0.2484 0.2369 0.5000
Pt3 0.6667 0.3333 0.0000
```

---

(11)
The following is a GGA-PBE calculation of a relaxed structure of YIn2Rh, from Alexandria.

## Properties
* ΔE_f: -0.221 eV/atom
* crystal system: trigonal

The structure in CIF format:
```
data_YIn2Rh
_chemical_formula_sum 'Y3 In6 Rh3'
_symmetry_space_group_name_H-M 'R 3 m'
_symmetry_Int_Tables_number 160
_symmetry_space_group_name_Hall 'R 3 -2"'
_cell_length_a 3.5629
_cell_length_b 3.5629
_cell_length_c 26.5850
_cell_angle_alpha 90.00
_cell_angle_beta 90.00
_cell_angle_gamma 120.00
loop_
_atom_site_label
_atom_site_fract_x
_atom_site_fract_y
_atom_site_fract_z
Y1 0.0000 0.0000 0.0000
In1 0.0000 0.0000 0.2318
In2 0.0000 0.0000 0.4724
Rh1 0.0000 0.0000 0.7351
```

---

(12)
The following is a GGA-PBE calculation of a relaxed structure of Ga3AgPt, from Alexandria.

## Properties
* ΔE_f: -0.099 eV/atom
* crystal system: orthorhombic

The structure in CIF format:
```
data_Ga3AgPt
_chemical_formula_sum 'Ga12 Ag4 Pt4'
_symmetry_space_group_name_H-M 'C m c m'
_symmetry_Int_Tables_number 63
_symmetry_space_group_name_Hall '-C 2c 2'
_cell_length_a 6.4350
_cell_length_b 11.1683
_cell_length_c 5.3668
_cell_angle_alpha 90.00
_cell_angle_beta 90.00
_cell_angle_gamma 90.00
loop_
_atom_site_label
_atom_site_fract_x
_atom_site_fract_y
_atom_site_fract_z
Ga1 0.0000 0.1966 0.2500
Ga2 0.2048 0.4015 0.2500
Ag1 0.0000 0.3334 0.7500
Pt1 0.0000 0.0000 0.0000
```

---

Number 1: magnetic moment 0.000 μB/atom, total DFT energy (no corrections) -39.124 eV/cell. Number 2: magnetic moment 0.000 μB/atom, total DFT energy (no corrections) -16.939 eV/cell. Number 3: magnetic moment 0.000 μB/atom, total DFT energy (no corrections) -63.320 eV/cell. Number 4: magnetic moment 0.053 μB/atom, total DFT energy (no corrections) -17.042 eV/cell. Number 5: magnetic moment 0.079 μB/atom, total DFT energy (no corrections) -23.229 eV/cell. Number 6: magnetic moment 0.000 μB/atom, total DFT energy (no corrections) -24.296 eV/cell. Number 7: magnetic moment 0.000 μB/atom, total DFT energy (no corrections) -214.838 eV/cell. Number 8: magnetic moment 0.000 μB/atom, total DFT energy (no corrections) -87.978 eV/cell. Number 9: magnetic moment 0.000 μB/atom, total DFT energy (no corrections) -133.886 eV/cell. Number 10: magnetic moment 0.000 μB/atom, total DFT energy (no corrections) -92.928 eV/cell. Number 11: magnetic moment 0.000 μB/atom, total DFT energy (no corrections) -60.526 eV/cell. Number 12: magnetic moment 0.000 μB/atom, total DFT energy (no corrections) -73.873 eV/cell.